1.
{"formula": "Zn2CdPd", "functional": "PBE-GGA", "state": "relaxed", "mass_density_kg_m3": 8265, "energy_ev_per_cell": -38.7, "lattice": [[-1.279, -3.078, -4.089], [3.912, -6.137, 3.397], [-5.564, -1.824, 3.113]], "species": ["Zn", "Zn", "Zn", "Zn", "Zn", "Zn", "Zn", "Zn", "Cd", "Cd", "Cd", "Cd", "Pd", "Pd", "Pd", "Pd"], "fractional_positions": [[0.906, 0.462, 0.181], [0.906, 0.038, 0.181], [0.406, 0.962, 0.319], [0.594, 0.462, 0.681], [0.594, 0.038, 0.681], [0.094, 0.962, 0.819], [0.406, 0.538, 0.319], [0.094, 0.538, 0.819], [0.633, 0.750, 0.982], [0.367, 0.250, 0.018], [0.133, 0.250, 0.518], [0.867, 0.750, 0.482], [0.365, 0.750, 0.623], [0.135, 0.750, 0.123], [0.635, 0.250, 0.377], [0.865, 0.250, 0.877]]}

***

2.
{"formula": "AcPuAs", "functional": "PBE-GGA", "state": "relaxed", "mass_density_kg_m3": 8395, "de_polymorph_ev_per_atom": 0.124, "energy_ev_per_cell": -97.3, "lattice": [[-4.072, -2.405, 6.126], [6.460, -0.397, 4.243], [-2.130, 8.248, -3.118]], "species": ["As", "As", "As", "As", "Ac", "Ac", "Ac", "Ac", "Pu", "Pu", "Pu", "Pu"], "fractional_positions": [[0.454, 0.954, 0.500], [0.046, 0.546, 0.500], [0.204, 0.204, 0.000], [0.796, 0.796, 0.000], [0.400, 0.900, 0.800], [0.850, 0.850, 0.700], [0.100, 0.600, 0.200], [0.150, 0.150, 0.300], [0.625, 0.375, 0.250], [0.625, 0.875, 0.250], [0.625, 0.375, 0.750], [0.125, 0.375, 0.750]]}

***

3.
{"formula": "CuBSbTe2", "functional": "PBE-GGA", "state": "relaxed", "e_form_raw_ev_per_atom": 1.253, "mass_density_kg_m3": 5553, "de_polymorph_ev_per_atom": 0.348, "energy_ev_per_cell": -14.9, "lattice": [[5.250, 0.000, 0.000], [0.000, 5.250, 0.000], [0.000, 0.000, 4.897]], "species": ["B", "Sb", "Te", "Te", "Cu"], "fractional_positions": [[0.500, 0.500, 0.500], [0.000, 0.000, 0.500], [0.000, 0.500, 0.000], [0.500, 0.000, 0.000], [0.000, 0.000, 0.000]]}

***

4.
{"formula": "MgTcSN2", "functional": "PBE-GGA", "state": "relaxed", "e_form_raw_ev_per_atom": 0.081, "mass_density_kg_m3": 4021, "de_polymorph_ev_per_atom": 0.000, "energy_ev_per_cell": -32.3, "lattice": [[3.807, 0.000, 0.000], [0.000, 3.807, 0.000], [0.000, 0.000, 5.198]], "species": ["Tc", "S", "N", "N", "Mg"], "fractional_positions": [[0.000, 0.000, 0.000], [0.000, 0.000, 0.500], [0.500, 0.000, 0.000], [0.000, 0.500, 0.000], [0.500, 0.500, 0.500]]}

***

5.
{"formula": "Al3SnI", "functional": "PBE-GGA", "state": "relaxed", "e_form_raw_ev_per_atom": 0.587, "mass_density_kg_m3": 3283, "de_polymorph_ev_per_atom": 0.000, "energy_ev_per_cell": -13.8, "lattice": [[-4.510, -3.053, -0.665], [3.122, -4.449, -0.746], [-0.124, -0.991, 5.395]], "species": ["Al", "Al", "Al", "I", "Sn"], "fractional_positions": [[0.500, 0.000, 0.000], [0.000, 0.500, 0.000], [0.000, 0.000, 0.500], [0.500, 0.500, 0.500], [0.000, 0.000, 0.000]]}

***

6.
{"formula": "LaTbSmCo", "functional": "PBE-GGA", "state": "relaxed", "mass_density_kg_m3": 7461, "energy_ev_per_cell": -21.3, "lattice": [[-1.894, -2.273, 1.997], [0.610, -3.417, -3.311], [7.112, 2.034, 2.686]], "species": ["Co", "La", "Tb", "Sm"], "fractional_positions": [[0.383, 0.131, 0.825], [0.748, 0.313, 0.190], [0.922, 0.650, 0.863], [0.558, 0.968, 0.500]]}

***

7.
{"formula": "Dy2Cu7", "functional": "PBE-GGA", "state": "relaxed", "mass_density_kg_m3": 9098, "energy_ev_per_cell": -79.3, "lattice": [[5.122, 0.000, 0.000], [2.561, 4.436, 0.000], [2.561, 1.479, 12.367]], "species": ["Cu", "Cu", "Cu", "Cu", "Cu", "Cu", "Cu", "Cu", "Cu", "Cu", "Cu", "Cu", "Cu", "Cu", "Dy", "Dy", "Dy", "Dy"], "fractional_positions": [[0.388, 0.388, 0.835], [0.892, 0.389, 0.329], [0.611, 0.108, 0.671], [0.500, 0.500, 0.000], [0.722, 0.722, 0.835], [0.000, 0.500, 0.000], [0.500, 0.000, 0.000], [0.278, 0.278, 0.165], [0.500, 0.500, 0.500], [0.612, 0.612, 0.165], [0.389, 0.389, 0.329], [0.389, 0.892, 0.329], [0.108, 0.611, 0.671], [0.611, 0.611, 0.671], [0.148, 0.148, 0.557], [0.050, 0.050, 0.849], [0.950, 0.950, 0.151], [0.852, 0.852, 0.443]]}

***

8.
{"formula": "GaGePd2Cl", "functional": "PBE-GGA", "state": "relaxed", "e_form_raw_ev_per_atom": 0.203, "mass_density_kg_m3": 5600, "energy_ev_per_cell": -18.9, "lattice": [[4.690, 0.000, 0.000], [0.000, 5.266, 0.000], [0.000, 0.000, 4.690]], "species": ["Pd", "Pd", "Ga", "Ge", "Cl"], "fractional_positions": [[0.000, 0.000, 0.500], [0.500, 0.000, 0.000], [0.000, 0.500, 0.000], [0.000, 0.000, 0.000], [0.500, 0.500, 0.500]]}

***

9.
{"formula": "KSeI3", "functional": "PBE-GGA", "state": "relaxed", "e_form_raw_ev_per_atom": -0.542, "mass_density_kg_m3": 3691, "de_polymorph_ev_per_atom": 0.000, "energy_ev_per_cell": -47.8, "lattice": [[9.859, 0.000, -2.819], [0.000, 8.807, 0.000], [-4.782, 0.000, 11.705]], "species": ["K", "K", "K", "K", "I", "I", "I", "I", "I", "I", "I", "I", "I", "I", "I", "I", "Se", "Se", "Se", "Se"], "fractional_positions": [[0.465, 0.075, 0.193], [0.035, 0.575, 0.307], [0.965, 0.425, 0.693], [0.535, 0.925, 0.807], [0.808, 0.072, 0.731], [0.691, 0.751, 0.446], [0.171, 0.706, 0.627], [0.692, 0.572, 0.769], [0.309, 0.249, 0.554], [0.809, 0.251, 0.054], [0.671, 0.794, 0.127], [0.308, 0.428, 0.231], [0.192, 0.928, 0.269], [0.191, 0.749, 0.946], [0.329, 0.206, 0.873], [0.829, 0.294, 0.373], [0.028, 0.120, 0.322], [0.972, 0.880, 0.678], [0.472, 0.620, 0.178], [0.528, 0.380, 0.822]]}

***

10.
{"formula": "AlZn8Ag4", "functional": "PBE-GGA", "state": "relaxed", "mass_density_kg_m3": 7646, "energy_ev_per_cell": -25.1, "lattice": [[4.413, 0.000, 0.000], [0.000, 2.808, 0.000], [0.000, 0.000, 17.208]], "species": ["Ag", "Ag", "Ag", "Ag", "Zn", "Zn", "Zn", "Zn", "Zn", "Zn", "Zn", "Zn", "Al"], "fractional_positions": [[0.500, 0.000, 0.878], [0.000, 0.000, 0.075], [0.000, 0.500, 0.637], [0.500, 0.500, 0.421], [0.500, 0.000, 0.584], [0.000, 0.500, 0.929], [0.000, 0.000, 0.498], [0.500, 0.500, 0.023], [0.000, 0.000, 0.780], [0.500, 0.000, 0.176], [0.000, 0.500, 0.218], [0.500, 0.500, 0.735], [0.000, 0.000, 0.347]]}

***

11.
{"formula": "ZrAlHg2", "functional": "PBE-GGA", "state": "relaxed", "mass_density_kg_m3": 10174, "energy_ev_per_cell": -13.0, "lattice": [[-3.143, -2.828, 3.189], [5.090, -1.194, 0.844], [0.175, 2.327, 2.236]], "species": ["Hg", "Hg", "Zr", "Al"], "fractional_positions": [[0.000, 0.000, 0.000], [0.500, 0.500, 0.000], [0.500, 0.000, 0.500], [0.000, 0.500, 0.500]]}

***

12.
{"formula": "Ac2SiAgS6", "functional": "PBE-GGA", "state": "relaxed", "e_form_raw_ev_per_atom": -1.193, "mass_density_kg_m3": 5692, "energy_ev_per_cell": -106.4, "lattice": [[6.447, 0.000, 0.013], [0.000, 7.514, 0.000], [0.070, 0.000, 9.422]], "species": ["S", "S", "S", "S", "S", "S", "S", "S", "S", "S", "S", "S", "Ag", "Ag", "Ac", "Ac", "Ac", "Ac", "Si", "Si"], "fractional_positions": [[0.708, 0.344, 0.963], [0.792, 0.844, 0.537], [0.674, 0.299, 0.546], [0.326, 0.701, 0.454], [0.826, 0.799, 0.954], [0.406, 0.989, 0.738], [0.094, 0.489, 0.762], [0.906, 0.511, 0.238], [0.174, 0.201, 0.046], [0.292, 0.656, 0.037], [0.208, 0.156, 0.463], [0.594, 0.011, 0.262], [0.500, 0.000, 0.000], [0.000, 0.500, 0.500], [0.542, 0.605, 0.745], [0.458, 0.395, 0.255], [0.958, 0.105, 0.755], [0.042, 0.895, 0.245], [0.500, 0.000, 0.500], [0.000, 0.500, 0.000]]}

***

The records above give, respectively, M_tot values of 0.000 7.161 0.000 0.276 0.000 0.000 0.000 0.000 0.000 0.000 0.000 0.000 μB/f.u..